--- one ---
# ScTi2Tc2

A geometry-optimized ScTi2Tc2 structure (PBE, Alexandria).

Cell and atoms, written as CIF:
```
data_ScTi2Tc2
_symmetry_space_group_name_H-M 'C m m m'
_symmetry_Int_Tables_number 65
_symmetry_space_group_name_Hall '-C 2 2'
_cell_length_a 3.2729
_cell_length_b 16.6008
_cell_length_c 3.1397
_cell_angle_alpha 90.00
_cell_angle_beta 90.00
_cell_angle_gamma 90.00
loop_
_atom_site_label
_atom_site_type_symbol
_atom_site_fract_x
_atom_site_fract_y
_atom_site_fract_z
Sc1 Sc 0.0000 0.0000 0.0000
Ti1 Ti 0.0000 0.1815 0.0000
Tc1 Tc 0.0000 0.3927 0.5000
```

* magnetic moment: 0.00 μB/f.u.
* DOS at the Fermi energy: 7.73 states/eV per cell

***

--- two ---
# ScTi2Tc2

A geometry-optimized ScTi2Tc2 structure (PBE, Alexandria).

Cell and atoms, written as CIF:
```
data_ScTi2Tc2
_symmetry_space_group_name_H-M 'P 4/m b m'
_symmetry_Int_Tables_number 127
_symmetry_space_group_name_Hall '-P 4 2ab'
_cell_length_a 7.3809
_cell_length_b 7.3809
_cell_length_c 3.1120
_cell_angle_alpha 90.00
_cell_angle_beta 90.00
_cell_angle_gamma 90.00
loop_
_atom_site_label
_atom_site_type_symbol
_atom_site_fract_x
_atom_site_fract_y
_atom_site_fract_z
Sc1 Sc 0.0000 0.0000 0.0000
Ti1 Ti 0.1447 0.3553 0.5000
Tc1 Tc 0.1522 0.6522 0.0000
```

* magnetic moment: 0.00 μB/f.u.
* DOS at the Fermi energy: 8.28 states/eV per cell

***

--- three ---
# ScTi2Tc2

A geometry-optimized ScTi2Tc2 structure (PBE, Alexandria).

Cell and atoms, written as CIF:
```
data_ScTi2Tc2
_symmetry_space_group_name_H-M 'P 4/m b m'
_symmetry_Int_Tables_number 127
_symmetry_space_group_name_Hall '-P 4 2ab'
_cell_length_a 7.4539
_cell_length_b 7.4539
_cell_length_c 3.0371
_cell_angle_alpha 90.00
_cell_angle_beta 90.00
_cell_angle_gamma 90.00
loop_
_atom_site_label
_atom_site_type_symbol
_atom_site_fract_x
_atom_site_fract_y
_atom_site_fract_z
Sc1 Sc 0.0000 0.0000 0.0000
Ti1 Ti 0.1374 0.3626 0.0000
Tc1 Tc 0.1563 0.6563 0.5000
```

* magnetic moment: 0.00 μB/f.u.
* DOS at the Fermi energy: 9.43 states/eV per cell

***

Most stable to least stable: one, two, three

***

--- one ---
# ScTi3Tc

A geometry-optimized ScTi3Tc structure (PBE, Alexandria).

Cell and atoms, written as CIF:
```
data_ScTi3Tc
_symmetry_space_group_name_H-M 'P m -3 m'
_symmetry_Int_Tables_number 221
_symmetry_space_group_name_Hall '-P 4 2 3'
_cell_length_a 4.4934
_cell_length_b 4.4934
_cell_length_c 4.4934
_cell_angle_alpha 90.00
_cell_angle_beta 90.00
_cell_angle_gamma 90.00
loop_
_atom_site_label
_atom_site_type_symbol
_atom_site_fract_x
_atom_site_fract_y
_atom_site_fract_z
Sc1 Sc 0.0000 0.0000 0.0000
Ti1 Ti 0.0000 0.0000 0.5000
Tc1 Tc 0.5000 0.5000 0.5000
```

* magnetic moment: 0.00 μB/f.u.
* DOS at the Fermi energy: 5.08 states/eV per cell

***

--- two ---
# ScTi3Tc

A geometry-optimized ScTi3Tc structure (PBE, Alexandria).

Cell and atoms, written as CIF:
```
data_ScTi3Tc
_symmetry_space_group_name_H-M 'P m -3 m'
_symmetry_Int_Tables_number 221
_symmetry_space_group_name_Hall '-P 4 2 3'
_cell_length_a 4.7262
_cell_length_b 4.7262
_cell_length_c 4.7262
_cell_angle_alpha 90.00
_cell_angle_beta 90.00
_cell_angle_gamma 90.00
loop_
_atom_site_label
_atom_site_type_symbol
_atom_site_fract_x
_atom_site_fract_y
_atom_site_fract_z
Sc1 Sc 0.0000 0.0000 0.0000
Ti1 Ti 0.0000 0.5000 0.5000
Tc1 Tc 0.5000 0.5000 0.5000
```

* magnetic moment: 0.00 μB/f.u.
* DOS at the Fermi energy: 11.84 states/eV per cell

***

Most stable to least stable: two, one

***

--- one ---
# ScTl2Tc

A geometry-optimized ScTl2Tc structure (PBE, Alexandria).

Cell and atoms, written as CIF:
```
data_ScTl2Tc
_symmetry_space_group_name_H-M 'I m m 2'
_symmetry_Int_Tables_number 44
_symmetry_space_group_name_Hall 'I 2 -2'
_cell_length_a 3.4511
_cell_length_b 4.8262
_cell_length_c 10.1629
_cell_angle_alpha 90.00
_cell_angle_beta 90.00
_cell_angle_gamma 90.00
loop_
_atom_site_label
_atom_site_type_symbol
_atom_site_fract_x
_atom_site_fract_y
_atom_site_fract_z
Sc1 Sc 0.0000 0.0000 0.0000
Tl1 Tl 0.0000 0.0000 0.4384
Tl2 Tl 0.0000 0.5000 0.2136
Tc1 Tc 0.0000 0.5000 0.7008
```

* magnetic moment: 0.00 μB/f.u.
* DOS at the Fermi energy: 4.73 states/eV per cell

***

--- two ---
# ScTl2Tc

A geometry-optimized ScTl2Tc structure (PBE, Alexandria).

Cell and atoms, written as CIF:
```
data_ScTl2Tc
_symmetry_space_group_name_H-M 'I -4 m 2'
_symmetry_Int_Tables_number 119
_symmetry_space_group_name_Hall 'I -4 -2'
_cell_length_a 4.2427
_cell_length_b 4.2427
_cell_length_c 9.0562
_cell_angle_alpha 90.00
_cell_angle_beta 90.00
_cell_angle_gamma 90.00
loop_
_atom_site_label
_atom_site_type_symbol
_atom_site_fract_x
_atom_site_fract_y
_atom_site_fract_z
Sc1 Sc 0.0000 0.0000 0.0000
Tl1 Tl 0.0000 0.0000 0.5000
Tl2 Tl 0.0000 0.5000 0.2500
Tc1 Tc 0.0000 0.5000 0.7500
```

* magnetic moment: 0.00 μB/f.u.
* DOS at the Fermi energy: 4.08 states/eV per cell

***

Most stable to least stable: one, two